# 1
! CsKAu4 PBE relaxed; values from VASP
! E above lowest polymorph: 0.044 eV per atom
! symmetry: No. 216
! raw total energy: -2.694 eV/atom
! calculated formation energy: -0.18 eV per atom
&SYSTEM
  ibrav = 0, nat = 6, ntyp = 3
/
ATOMIC_SPECIES
Cs 132.91 Cs.upf
Au 196.97 Au.upf
K 39.10 K.upf
ATOMIC_POSITIONS angstrom
Cs 0.000 0.000 0.000
Au -4.433 -4.423 2.987
K -2.960 -1.863 1.096
Au -5.756 -3.856 0.379
Au -7.393 -4.654 2.737
Au -6.096 -1.973 2.662
CELL_PARAMETERS angstrom
-5.946 -0.464 -0.504
-2.605 -5.386 0.150
-3.288 -1.603 4.737



# 2
! Cs7KAu5 PBE relaxed; values from VASP
! symmetry: No. 12
! raw total energy: -2.042 eV/atom
! calculated formation energy: -0.24 eV per atom
&SYSTEM
  ibrav = 0, nat = 26, ntyp = 3
/
ATOMIC_SPECIES
Cs 132.91 Cs.upf
Au 196.97 Au.upf
K 39.10 K.upf
ATOMIC_POSITIONS angstrom
Cs 13.281 0.044 25.322
Cs 9.245 -0.642 20.543
Au 5.723 2.534 10.533
Au 6.862 -2.153 13.262
Au 10.480 1.645 12.622
Au 0.958 1.739 4.866
Cs 17.213 -1.700 27.540
Au 14.198 -3.365 25.752
Au 20.962 3.295 25.237
Cs 3.422 -2.304 14.689
K 13.931 -0.343 20.691
Cs 18.106 1.707 23.562
Au -0.891 -3.390 3.955
Au 9.431 -4.164 20.091
Cs 3.572 2.522 7.437
Cs 8.091 -3.148 16.578
Cs 7.063 1.518 14.045
Au 8.293 0.523 17.362
Cs -2.952 -3.334 7.056
Cs 11.583 -4.152 23.186
Cs 1.874 -1.670 5.297
Cs 11.730 0.674 15.933
Au 16.045 1.764 26.662
K 1.222 -1.286 9.928
Cs 5.908 -0.989 10.080
Cs -2.058 0.074 3.078
CELL_PARAMETERS angstrom
-3.255 3.479 2.249
-2.551 -8.399 3.130
20.965 3.298 25.237



# 3
! Cs4K2Au PBE relaxed; values from VASP
! E above lowest polymorph: 0.009 eV per atom
! symmetry: No. 139
! raw total energy: -1.334 eV/atom
! calculated formation energy: -0.06 eV per atom
&SYSTEM
  ibrav = 0, nat = 7, ntyp = 3
/
ATOMIC_SPECIES
Cs 132.91 Cs.upf
K 39.10 K.upf
Au 196.97 Au.upf
ATOMIC_POSITIONS angstrom
Cs 7.143 7.143 3.689
Cs 0.000 3.571 0.000
Cs 3.571 3.571 8.262
K 7.143 7.143 8.324
Cs 3.571 0.000 0.000
Au 0.000 0.000 0.000
K 3.571 3.571 3.627
CELL_PARAMETERS angstrom
7.143 0.000 0.000
0.000 7.143 0.000
3.571 3.571 11.951



# 4
! Cs12KAu4 PBE relaxed; values from VASP
! symmetry: No. 71
! raw total energy: -1.595 eV/atom
! calculated formation energy: -0.16 eV per atom
&SYSTEM
  ibrav = 0, nat = 17, ntyp = 3
/
ATOMIC_SPECIES
Au 196.97 Au.upf
Cs 132.91 Cs.upf
K 39.10 K.upf
ATOMIC_POSITIONS angstrom
Au -0.394 -5.972 -0.370
Cs -0.515 -9.068 1.585
Cs 8.078 2.562 -0.940
Au 0.183 1.627 5.768
Cs 3.702 -0.200 -0.015
Cs 3.114 -0.488 5.204
Cs 5.850 -4.785 5.281
Cs 6.437 -4.497 0.062
Cs 2.586 -7.088 -2.175
Cs 1.474 -7.546 6.206
Au 4.776 -2.492 2.633
Cs 1.632 -4.307 2.182
Cs 7.920 -0.677 3.084
Cs 10.067 4.084 3.681
Au 4.988 1.852 -2.765
Cs 6.966 2.104 7.441
K 5.170 3.479 3.003
CELL_PARAMETERS angstrom
-0.789 -11.943 -0.740
9.975 3.704 -5.530
0.365 3.255 11.536



# 5
! Cs8KAu5 PBE relaxed; values from VASP
! symmetry: No. 12
! raw total energy: -1.978 eV/atom
! calculated formation energy: -0.24 eV per atom
&SYSTEM
  ibrav = 0, nat = 14, ntyp = 3
/
ATOMIC_SPECIES
Au 196.97 Au.upf
Cs 132.91 Cs.upf
K 39.10 K.upf
ATOMIC_POSITIONS angstrom
Au 1.874 0.994 6.347
Au 7.024 4.110 3.804
Cs 1.821 -3.228 11.408
Au 4.480 -2.739 8.938
Cs -0.200 -6.836 8.054
Cs 4.040 0.840 9.246
K -2.855 -3.244 5.570
Au 8.840 7.871 6.717
Cs 2.314 -2.586 6.039
Cs 4.531 1.482 3.875
Cs -0.417 1.013 3.454
Au -0.671 -5.856 11.479
Cs 6.770 -2.760 11.831
Cs 6.551 5.090 7.229
CELL_PARAMETERS angstrom
-3.225 3.127 2.575
-2.488 -9.618 8.567
12.065 4.745 4.142



# 6
! Cs3KAu4 PBE relaxed; values from VASP
! E above lowest polymorph: 0.000 eV per atom
! symmetry: No. 47
! raw total energy: -2.400 eV/atom
! calculated formation energy: -0.30 eV per atom
&SYSTEM
  ibrav = 0, nat = 8, ntyp = 3
/
ATOMIC_SPECIES
K 39.10 K.upf
Au 196.97 Au.upf
Cs 132.91 Cs.upf
ATOMIC_POSITIONS angstrom
K -2.458 -2.639 0.831
Au -3.375 0.413 2.335
Au 0.000 0.000 0.000
Cs -3.274 0.905 -1.335
Cs -7.731 5.114 -1.156
Au -8.060 4.837 2.523
Au -4.381 4.137 0.176
Cs -6.839 1.498 1.007
CELL_PARAMETERS angstrom
-2.243 -2.255 -2.844
-2.673 -3.023 4.506
-8.762 8.273 0.352



# 7
! CsK2Au PBE relaxed; values from VASP
! E above lowest polymorph: 0.053 eV per atom
! symmetry: No. 166
! raw total energy: -1.698 eV/atom
! calculated formation energy: -0.12 eV per atom
&SYSTEM
  ibrav = 0, nat = 4, ntyp = 3
/
ATOMIC_SPECIES
K 39.10 K.upf
Au 196.97 Au.upf
Cs 132.91 Cs.upf
ATOMIC_POSITIONS angstrom
K 2.506 1.447 1.721
Au 0.000 0.000 0.000
K 7.518 4.341 10.110
Cs 5.012 2.894 5.915
CELL_PARAMETERS angstrom
5.012 0.000 0.000
2.506 4.341 0.000
2.506 1.447 11.831



# 8
! Cs3K8Au3 PBE relaxed; values from VASP
! symmetry: No. 12
! raw total energy: -1.616 eV/atom
! calculated formation energy: -0.10 eV per atom
&SYSTEM
  ibrav = 0, nat = 14, ntyp = 3
/
ATOMIC_SPECIES
K 39.10 K.upf
Au 196.97 Au.upf
Cs 132.91 Cs.upf
ATOMIC_POSITIONS angstrom
K -0.076 3.263 3.314
K -0.805 6.246 10.940
K -5.661 8.013 13.098
Au -3.248 2.246 3.994
Cs -2.604 5.602 15.364
Au -1.715 2.623 10.484
Cs 0.000 0.000 0.000
K -1.596 9.295 13.460
Cs -2.749 5.717 5.705
K -5.278 8.057 17.756
K -3.757 2.024 7.609
K -4.548 5.074 10.130
K 0.307 3.306 7.972
Au -2.105 9.073 17.075
CELL_PARAMETERS angstrom
-1.924 6.072 0.101
-7.423 0.811 10.727
3.994 4.436 10.241



# 9
! Cs3KAu2 PBE relaxed; values from VASP
! symmetry: No. 167
! raw total energy: -1.857 eV/atom
! calculated formation energy: -0.15 eV per atom
&SYSTEM
  ibrav = 0, nat = 12, ntyp = 3
/
ATOMIC_SPECIES
Cs 132.91 Cs.upf
Au 196.97 Au.upf
K 39.10 K.upf
ATOMIC_POSITIONS angstrom
Cs -1.848 -9.742 3.291
Au -1.712 -2.686 0.984
K 0.000 0.000 0.000
Au -4.308 -6.759 2.477
Au -7.733 -12.131 4.445
Cs -5.245 -10.963 7.284
K -6.021 -9.445 3.461
Cs -10.193 -9.148 3.631
Cs -5.634 -12.945 1.198
Au -10.329 -16.203 5.938
Cs -6.796 -7.926 -0.362
Cs -6.407 -5.944 5.724
CELL_PARAMETERS angstrom
-8.747 -4.223 -0.269
-0.379 -9.689 -0.629
-2.915 -4.977 7.820



# 10
! Cs3KAu6 PBE relaxed; values from VASP
! symmetry: No. 167
! raw total energy: -2.511 eV/atom
! calculated formation energy: -0.18 eV per atom
&SYSTEM
  ibrav = 0, nat = 20, ntyp = 3
/
ATOMIC_SPECIES
Cs 132.91 Cs.upf
Au 196.97 Au.upf
K 39.10 K.upf
ATOMIC_POSITIONS angstrom
Cs -0.688 -3.705 7.526
Au 0.958 -2.888 2.370
Au -1.652 0.609 8.816
Cs -1.418 4.021 7.257
Cs 2.659 4.311 4.510
K 0.985 0.303 6.018
K 0.000 0.000 0.000
Cs -3.584 -0.138 5.756
Au 2.730 -2.318 8.245
Au 1.012 3.494 9.666
Au 2.656 2.105 1.841
Au 4.448 -0.527 9.305
Au -2.478 1.132 2.730
Au -0.686 -1.500 10.195
Au 3.014 2.966 7.933
Au -0.760 2.924 3.790
Au 3.622 -0.004 3.220
Cs 3.388 -3.416 4.779
Cs 5.554 0.743 6.280
Au -1.043 -2.361 4.102
CELL_PARAMETERS angstrom
-7.673 1.912 5.289
3.416 -7.942 3.970
6.227 6.635 2.777



# 11
! Cs3K9Au2 PBE relaxed; values from VASP
! symmetry: No. 71
! raw total energy: -1.391 eV/atom
! calculated formation energy: -0.03 eV per atom
&SYSTEM
  ibrav = 0, nat = 14, ntyp = 3
/
ATOMIC_SPECIES
K 39.10 K.upf
Cs 132.91 Cs.upf
Au 196.97 Au.upf
ATOMIC_POSITIONS angstrom
K -5.885 -5.313 -6.879
Cs -4.334 -7.529 -3.544
K -5.078 -7.214 -10.220
Cs 0.000 0.000 0.000
K -1.949 -0.326 -4.193
Au -2.974 -3.795 -4.182
Au -8.795 -6.831 -9.577
K -3.863 -2.367 -0.980
K -4.920 -1.524 -6.513
K -9.821 -10.300 -9.566
K -6.691 -3.412 -3.539
Cs -1.745 -4.771 -7.888
K -6.850 -9.103 -7.246
K -7.906 -8.259 -12.779
CELL_PARAMETERS angstrom
-5.690 1.674 -2.327
0.692 -2.173 -11.980
-6.772 -10.128 0.548



# 12
! CsK8Au4 PBE relaxed; values from VASP
! symmetry: No. 12
! raw total energy: -1.889 eV/atom
! calculated formation energy: -0.14 eV per atom
&SYSTEM
  ibrav = 0, nat = 13, ntyp = 3
/
ATOMIC_SPECIES
K 39.10 K.upf
Cs 132.91 Cs.upf
Au 196.97 Au.upf
ATOMIC_POSITIONS angstrom
K -3.362 1.563 7.932
K -1.260 1.255 0.974
Cs 0.891 4.076 3.055
Au -0.419 6.812 5.147
Au 0.140 -4.833 6.409
K 2.053 0.142 4.147
K -0.157 4.085 7.169
K -6.674 2.675 4.759
Au -4.202 -3.995 3.759
K -4.465 -1.267 1.737
K -3.125 5.015 3.851
K -1.496 -2.197 5.055
Au 0.046 -1.587 2.104
CELL_PARAMETERS angstrom
-6.403 -5.335 2.796
6.590 -1.085 5.717
-4.808 9.238 0.393



# 13
! Cs4K5Au6 PBE relaxed; values from VASP
! symmetry: No. 36
! raw total energy: -2.142 eV/atom
! calculated formation energy: -0.24 eV per atom
&SYSTEM
  ibrav = 0, nat = 30, ntyp = 3
/
ATOMIC_SPECIES
K 39.10 K.upf
Cs 132.91 Cs.upf
Au 196.97 Au.upf
ATOMIC_POSITIONS angstrom
K 2.748 4.577 14.730
Cs 0.000 0.360 9.238
Au 0.000 10.920 7.455
Au 2.748 1.127 6.612
Au 2.748 1.686 16.759
Au 2.748 6.588 17.884
K 2.748 8.307 2.333
Au 2.748 6.178 5.395
K 0.000 11.689 12.393
Au 0.000 6.427 14.699
Cs 0.000 4.137 17.722
Cs 2.748 8.468 8.418
Au 2.748 2.375 11.776
K 0.000 4.299 11.637
K 2.748 4.091 8.577
K 2.748 0.917 3.089
Au 0.000 11.479 15.916
Cs 2.748 8.912 14.932
K 0.000 7.948 11.540
Cs 0.000 1.027 14.438
Au 2.748 10.029 11.616
Cs 2.748 11.578 5.135
Au 0.000 2.576 2.312
Cs 0.000 3.694 5.628
Au 0.000 10.231 2.472
K 0.000 8.514 17.880
Au 0.000 6.017 8.580
K 0.000 8.029 5.427
Cs 2.748 12.246 18.541
K 2.748 4.657 2.237
CELL_PARAMETERS angstrom
5.496 0.000 0.000
-2.748 12.606 0.000
0.000 0.000 18.608



# 14
! Cs4KAu2 PBE relaxed; values from VASP
! E above lowest polymorph: 0.209 eV per atom
! symmetry: No. 139
! raw total energy: -1.548 eV/atom
! calculated formation energy: 0.03 eV per atom
&SYSTEM
  ibrav = 0, nat = 7, ntyp = 3
/
ATOMIC_SPECIES
Au 196.97 Au.upf
Cs 132.91 Cs.upf
K 39.10 K.upf
ATOMIC_POSITIONS angstrom
Au 3.787 3.787 1.392
Cs 3.787 0.000 0.000
Cs 7.575 7.575 4.675
K 0.000 0.000 0.000
Cs 0.000 3.787 0.000
Cs 3.787 3.787 4.777
Au 7.575 7.575 8.060
CELL_PARAMETERS angstrom
7.575 0.000 0.000
0.000 7.575 0.000
3.787 3.787 9.452



# 15
! Cs2KAu2 PBE relaxed; values from VASP
! E above lowest polymorph: 0.000 eV per atom
! symmetry: No. 71
! raw total energy: -2.140 eV/atom
! calculated formation energy: -0.27 eV per atom
&SYSTEM
  ibrav = 0, nat = 5, ntyp = 3
/
ATOMIC_SPECIES
Au 196.97 Au.upf
K 39.10 K.upf
Cs 132.91 Cs.upf
ATOMIC_POSITIONS angstrom
Au -10.834 -0.386 -5.626
K -3.926 -1.930 -2.627
Cs -7.927 -1.882 -3.922
Cs -5.949 2.011 -1.998
Au -3.042 0.516 -0.295
CELL_PARAMETERS angstrom
-1.667 -0.092 -4.791
-6.185 -3.768 -0.462
-6.024 3.990 -0.667



# 16
! CsK6Au2 PBE relaxed; values from VASP
! E above lowest polymorph: 0.000 eV per atom
! symmetry: No. 15
! raw total energy: -1.674 eV/atom
! calculated formation energy: -0.12 eV per atom
&SYSTEM
  ibrav = 0, nat = 18, ntyp = 3
/
ATOMIC_SPECIES
K 39.10 K.upf
Cs 132.91 Cs.upf
Au 196.97 Au.upf
ATOMIC_POSITIONS angstrom
K -6.063 -8.175 9.009
K -5.424 -8.959 14.663
K 1.881 -4.634 5.643
K -7.829 -5.036 6.551
Cs -10.927 -7.094 8.779
Cs 2.085 -6.814 9.384
Au -7.407 -9.708 11.901
K -10.722 -9.273 12.521
Au -6.114 -4.786 9.477
K -0.655 -2.186 3.520
K -1.013 -8.872 11.612
K -2.779 -5.732 9.154
K -4.418 -11.101 11.010
K -8.187 -11.721 14.643
Au -2.728 -9.121 8.686
Au -1.435 -4.199 6.262
K -4.424 -2.807 7.153
K -3.418 -4.949 3.500
CELL_PARAMETERS angstrom
-4.104 -1.368 8.840
-10.770 -5.960 0.809
6.032 -6.580 8.514



# 17
! Cs8KAu6 PBE relaxed; values from VASP
! symmetry: No. 148
! raw total energy: -2.099 eV/atom
! calculated formation energy: -0.26 eV per atom
&SYSTEM
  ibrav = 0, nat = 15, ntyp = 3
/
ATOMIC_SPECIES
Au 196.97 Au.upf
Cs 132.91 Cs.upf
K 39.10 K.upf
ATOMIC_POSITIONS angstrom
Au 6.135 2.295 12.634
Cs 8.521 1.942 9.897
Cs 8.004 3.731 5.838
Cs 3.828 2.845 5.882
Au 4.811 8.020 10.726
K 0.000 0.000 0.000
Cs 7.650 5.686 11.756
Cs 3.474 4.801 11.800
Cs 2.957 6.589 7.740
Au 6.667 0.511 6.912
Au 1.533 3.319 8.895
Cs 7.301 7.600 7.955
Au 5.343 6.236 5.004
Cs 4.177 0.932 9.683
Au 9.945 5.213 8.743
CELL_PARAMETERS angstrom
8.886 0.013 3.956
2.574 8.505 3.956
0.018 0.013 9.726



# 18
! Cs7K5Au6 PBE relaxed; values from VASP
! symmetry: No. 38
! raw total energy: -1.919 eV/atom
! calculated formation energy: -0.19 eV per atom
&SYSTEM
  ibrav = 0, nat = 18, ntyp = 3
/
ATOMIC_SPECIES
Au 196.97 Au.upf
Cs 132.91 Cs.upf
K 39.10 K.upf
ATOMIC_POSITIONS angstrom
Au 3.743 4.287 0.000
Cs 6.557 1.985 10.142
Cs 1.082 6.764 10.142
K 2.313 2.650 7.567
K 2.231 2.555 12.663
Au 7.535 8.630 2.491
Cs 5.310 6.081 7.567
Cs 6.463 1.908 0.000
K 2.231 2.555 2.471
Au 3.726 4.268 10.209
Cs 1.019 6.661 0.000
Cs 6.557 1.985 4.992
Au 0.114 0.131 7.567
K 5.273 6.040 12.671
Au 7.535 8.630 12.643
K 5.273 6.040 2.463
Au 3.726 4.268 4.924
Cs 1.082 6.764 4.992
CELL_PARAMETERS angstrom
8.429 0.265 0.000
-0.875 8.388 0.000
0.000 0.000 15.134



# 19
! Cs3K4Au2 PBE relaxed; values from VASP
! symmetry: No. 15
! raw total energy: -1.638 eV/atom
! calculated formation energy: -0.14 eV per atom
&SYSTEM
  ibrav = 0, nat = 18, ntyp = 3
/
ATOMIC_SPECIES
Cs 132.91 Cs.upf
Au 196.97 Au.upf
K 39.10 K.upf
ATOMIC_POSITIONS angstrom
Cs -2.700 0.543 3.523
Au -7.965 3.251 7.590
Au -7.524 0.689 1.787
K -7.109 0.951 5.172
Cs -9.321 -2.463 3.476
K -15.339 0.687 4.573
K -13.019 -2.975 5.714
K -10.775 1.656 2.198
K -5.404 -2.022 1.629
Cs -6.847 4.311 2.698
Cs -13.281 -6.335 8.188
K -4.789 -2.710 6.313
K -14.724 -0.002 9.257
Cs -17.428 -2.567 7.363
Au -12.163 -5.275 3.296
Cs -10.807 0.439 7.410
Au -12.604 -2.713 9.099
K -9.353 -3.680 8.688
CELL_PARAMETERS angstrom
-10.791 -3.194 -2.449
-4.225 -5.331 9.295
-5.112 6.501 4.041